No. 1
GGA-PBE La2Pm3Tl, optimized geometry; distance to the lowest polymorph of the same formula = 0 meV/atom; uncorrected energy = -4.5171 eV/atom
1.0
5.009 0.000 0.000
0.000 4.727 -1.598
0.000 0.159 8.260
La Pm Tl
2 3 1
Direct
0.000 0.664 0.328
0.000 0.336 0.672
0.500 0.160 0.321
0.500 0.500 0.000
0.500 0.840 0.679
0.000 0.000 0.000

No. 2
GGA-PBE La5Pm4Tl, optimized geometry; distance to the lowest polymorph of the same formula = 110 meV/atom; uncorrected energy = -4.4918 eV/atom
1.0
6.287 0.000 0.000
3.143 7.510 0.000
3.143 0.000 7.510
La Pm Tl
5 4 1
Direct
0.759 0.380 0.000
0.139 0.000 0.620
0.759 0.000 0.380
0.139 0.620 0.000
0.689 0.000 0.000
0.454 0.316 0.684
0.771 0.684 0.684
0.139 0.316 0.316
0.455 0.684 0.316
0.207 0.000 0.000

No. 3
GGA-PBE LaPmTl3, optimized geometry; uncorrected energy = -3.2744 eV/atom
1.0
-2.594 3.344 -4.322
-5.195 -0.025 3.099
7.057 7.743 5.989
La Pm Tl
2 2 6
Direct
0.665 0.165 0.330
0.835 0.335 0.670
0.000 0.000 0.000
0.250 0.750 0.500
0.623 0.880 0.759
0.120 0.864 0.241
0.120 0.377 0.241
0.136 0.880 0.759
0.258 0.258 0.516
0.742 0.742 0.484

No. 4
GGA-PBE La2Pm4Tl, optimized geometry; distance to the lowest polymorph of the same formula = 31 meV/atom; uncorrected energy = -4.4654 eV/atom
1.0
-10.873 0.456 -0.958
-0.396 -6.517 1.390
-0.505 1.399 6.402
Tl Pm La
2 8 4
Direct
0.000 0.000 0.000
0.500 0.500 0.000
0.750 0.750 0.999
0.673 0.500 0.499
0.827 0.000 0.499
0.750 0.250 0.999
0.250 0.750 0.001
0.173 0.000 0.501
0.327 0.500 0.501
0.250 0.250 0.001
0.999 0.500 0.264
0.001 0.500 0.736
0.499 0.000 0.736
0.501 0.000 0.264

No. 5
GGA-PBE La6Pm3Tl, optimized geometry; uncorrected energy = -4.6331 eV/atom
1.0
3.703 0.000 0.000
0.000 12.210 -2.156
0.000 0.199 15.633
La Pm Tl
12 6 2
Direct
0.250 0.387 0.539
0.750 0.613 0.461
0.250 0.900 0.032
0.750 0.100 0.968
0.250 0.819 0.621
0.750 0.181 0.379
0.250 0.682 0.257
0.750 0.318 0.743
0.250 0.576 0.897
0.750 0.424 0.103
0.250 0.178 0.169
0.750 0.822 0.831
0.250 0.112 0.568
0.750 0.888 0.432
0.250 0.415 0.312
0.750 0.585 0.688
0.250 0.062 0.775
0.750 0.938 0.225
0.250 0.309 0.925
0.750 0.691 0.075

No. 6
GGA-PBE La6PmTl2, optimized geometry; distance to the lowest polymorph of the same formula = 5 meV/atom; uncorrected energy = -4.5066 eV/atom
1.0
-1.481 -5.208 -2.816
0.417 -6.084 8.150
-9.461 -0.845 3.658
La Pm Tl
12 2 4
Direct
0.459 0.671 0.443
0.041 0.557 0.329
0.541 0.329 0.557
0.959 0.443 0.671
0.663 0.118 0.363
0.837 0.637 0.882
0.337 0.882 0.637
0.163 0.363 0.118
0.302 0.774 0.993
0.198 0.007 0.226
0.698 0.226 0.007
0.802 0.993 0.774
0.250 0.150 0.850
0.750 0.850 0.150
0.396 0.516 0.794
0.104 0.206 0.484
0.604 0.484 0.206
0.896 0.794 0.516

No. 7
GGA-PBE LaPm4Tl, optimized geometry; distance to the lowest polymorph of the same formula = 0 meV/atom; uncorrected energy = -4.4871 eV/atom
1.0
3.707 0.000 0.000
0.000 3.707 0.000
0.000 0.000 14.567
La Pm Tl
1 4 1
Direct
0.000 0.000 0.000
0.500 0.500 0.180
0.000 0.000 0.645
0.000 0.000 0.355
0.500 0.500 0.820
0.500 0.500 0.500

No. 8
GGA-PBE LaPm4Tl, optimized geometry; distance to the lowest polymorph of the same formula = 12 meV/atom; uncorrected energy = -4.4753 eV/atom
1.0
5.614 -0.903 0.000
-4.039 10.697 0.000
0.000 0.000 7.053
La Pm Tl
2 8 2
Direct
0.679 0.429 0.750
0.321 0.571 0.250
0.367 0.617 0.750
0.633 0.383 0.250
0.330 0.080 0.750
0.670 0.920 0.250
0.008 0.758 0.006
0.992 0.242 0.506
0.008 0.758 0.494
0.992 0.242 0.994
0.684 0.934 0.750
0.316 0.066 0.250